# CoNi2F (GGA+U, optimized geometry)
data_CoNi2F
_cell_length_a 6.3991
_cell_length_b 6.3991
_cell_length_c 5.1701
_cell_angle_alpha 51.77
_cell_angle_beta 51.77
_cell_angle_gamma 90.00
_symmetry_space_group_name_H-M 'P 1'
_symmetry_Int_Tables_number 1
loop_
_symmetry_equiv_pos_as_xyz
'x,y,z'
loop_
_atom_site_label
_atom_site_fract_x
_atom_site_fract_y
_atom_site_fract_z
_atom_site_occupancy
Ni1 0.5754 0.1250 0.2500 1
Ni2 0.1746 0.6250 0.2500 1
Ni3 0.3750 0.4246 0.7500 1
Ni4 0.8750 0.8254 0.7500 1
Co1 0.0000 0.0000 0.0000 1
Co2 0.7500 0.2500 0.5000 1
F1 0.5000 0.5000 0.0000 1
F2 0.2500 0.7500 0.5000 1
# Space-group type ... No. 122
# Total energy ... -2.80 eV/atom
# Crystal system ... tetragonal
# Spin magnetization ... 1.058 μB/atom
# Calculated volume ... 102.4 Å³/cell